Entry 1:
# TeSIN2 (PBE, optimized geometry)
# energy: -3.341 eV per atom
# magnetic moment: 0.0 Bohr magnetons per cell
# E above lowest polymorph: 156 kJ/mol of formula units
# formation energy from raw total energies: 1.753 eV per atom
# mass density: 4.63 g/cm³
data_TeSIN2
_symmetry_space_group_name_H-M 'P 4/m m m'
_symmetry_Int_Tables_number 123
_symmetry_space_group_name_Hall '-P 4 2'
_cell_length_a 3.943
_cell_length_b 3.943
_cell_length_c 7.259
_cell_angle_alpha 90.00
_cell_angle_beta 90.00
_cell_angle_gamma 90.00
loop_
_atom_site_label
_atom_site_type_symbol
_atom_site_fract_x
_atom_site_fract_y
_atom_site_fract_z
_atom_site_occupancy
Te1 Te 0.000 0.000 0.000 1
S1 S 0.500 0.500 0.000 1
I1 I 0.000 0.000 0.500 1
N1 N 0.000 0.500 0.500 1

Entry 2:
# TaV2Ga2 (PBE, optimized geometry)
# energy: -7.171 eV per atom
# energy of formation: 5.5 kJ per mole of atoms
# magnetic moment: 0.0 Bohr magnetons per cell
# E above lowest polymorph: 116 kJ/mol of formula units
# mass density: 9.17 g/cm³
data_TaV2Ga2
_symmetry_space_group_name_H-M 'P 4/m b m'
_symmetry_Int_Tables_number 127
_symmetry_space_group_name_Hall '-P 4 2ab'
_cell_length_a 7.449
_cell_length_b 7.449
_cell_length_c 2.758
_cell_angle_alpha 90.00
_cell_angle_beta 90.00
_cell_angle_gamma 90.00
loop_
_atom_site_label
_atom_site_type_symbol
_atom_site_fract_x
_atom_site_fract_y
_atom_site_fract_z
_atom_site_occupancy
Ta1 Ta 0.000 0.000 0.000 1
V1 V 0.114 0.386 0.000 1
Ga1 Ga 0.182 0.682 0.500 1

Entry 3:
# ScTi2Br6 (PBE, optimized geometry)
# energy: -4.835 eV per atom
# magnetic moment: 1.0 Bohr magnetons per cell
# E above lowest polymorph: 0 kJ/mol of formula units
# formation energy from raw total energies: -1.262 eV per atom
# mass density: 4.08 g/cm³
data_ScTi2Br6
_symmetry_space_group_name_H-M 'C 1 2/m 1'
_symmetry_Int_Tables_number 12
_cell_length_a 15.413
_cell_length_b 3.554
_cell_length_c 10.447
_cell_angle_alpha 90.00
_cell_angle_beta 117.99
_cell_angle_gamma 90.00
loop_
_symmetry_equiv_pos_as_xyz
'x,y,z'
'-x,-y,-z'
'-x,y,-z'
'x,-y,z'
'x+1/2,y+1/2,z'
'-x+1/2,-y+1/2,-z'
'-x+1/2,y+1/2,-z'
'x+1/2,-y+1/2,z'
loop_
_atom_site_label
_atom_site_type_symbol
_atom_site_fract_x
_atom_site_fract_y
_atom_site_fract_z
_atom_site_occupancy
Sc1 Sc 0.000 0.000 0.000 1
Ti1 Ti 0.196 0.500 0.381 1
Br1 Br 0.042 0.000 0.282 1
Br2 Br 0.146 0.500 0.067 1
Br3 Br 0.179 0.500 0.615 1

Entry 4:
# Pm3Np2Ru6 (PBE, optimized geometry)
# energy: -8.866 eV per atom
# energy of formation: -15.2 kJ per mole of atoms
# magnetic moment: 16.7 Bohr magnetons per cell
# mass density: 11.38 g/cm³
data_Pm3Np2Ru6
_symmetry_space_group_name_H-M 'I m -3 m'
_symmetry_Int_Tables_number 229
_symmetry_space_group_name_Hall '-I 4 2 3'
_cell_length_a 9.600
_cell_length_b 9.600
_cell_length_c 9.600
_cell_angle_alpha 90.00
_cell_angle_beta 90.00
_cell_angle_gamma 90.00
loop_
_atom_site_label
_atom_site_type_symbol
_atom_site_fract_x
_atom_site_fract_y
_atom_site_fract_z
_atom_site_occupancy
Pm1 Pm 0.000 0.000 0.285 1
Np1 Np 0.250 0.250 0.250 1
Ru1 Ru 0.000 0.348 0.348 1

> The highest energy belongs to which entry?

TeSIN2

> Which of these has the highest mass density?

Pm3Np2Ru6